[1]
Here is an optimized crystal structure of Nd2CrC2 from Alexandria via LeMat-Bulk. Energies are from GGA-PBE.

Structure (POSCAR):
```
Nd2CrC2
1.0
5.659 -2.669 0.000
5.659 2.669 0.000
-3.456 0.000 5.882
Nd Cr C
4 2 4
Cartesian
-0.554 0.000 1.685
0.551 0.000 5.138
7.311 0.000 0.743
8.416 0.000 4.197
2.880 0.000 2.181
4.981 0.000 3.700
1.745 0.000 0.727
3.153 0.000 4.145
4.708 0.000 1.736
6.117 0.000 5.155
```

Results
Total magnetic moment in Bohr magnetons per cell: 0.29
Calculated total energy in eV/cell: -76.30
Energy of formation in eV per atom: -0.109

***

[2]
Here is an optimized crystal structure of ErMgCu2Ge2 from Alexandria via LeMat-Bulk. Energies are from GGA-PBE.

Structure (POSCAR):
```
ErMgCu2Ge2
1.0
4.206 0.000 0.000
-2.103 3.642 0.000
0.000 0.000 6.761
Er Mg Cu Ge
1 1 2 2
Cartesian
0.000 0.000 0.000
0.000 0.000 3.381
0.000 2.428 2.009
2.103 1.214 4.752
0.000 2.428 5.051
2.103 1.214 1.710
```

Results
Total magnetic moment in Bohr magnetons per cell: 0.00
Calculated total energy in eV/cell: -26.33
Energy of formation in eV per atom: -0.458

***

[3]
Here is an optimized crystal structure of Na2BP from Alexandria via LeMat-Bulk. Energies are from GGA-PBE.

Structure (POSCAR):
```
Na2BP
1.0
-1.836 1.836 9.567
1.836 -1.836 9.567
1.836 1.836 -9.567
Na B P
4 2 2
Cartesian
2.754 0.887 -2.392
0.887 0.918 2.392
-0.918 0.950 7.175
0.950 0.918 11.959
0.000 0.000 0.000
0.000 1.836 4.783
1.836 0.000 4.783
0.000 0.000 9.567
```

Results
Total magnetic moment in Bohr magnetons per cell: 0.00
Calculated total energy in eV/cell: -21.92
Energy of formation in eV per atom: 0.941

***

[4]
Here is an optimized crystal structure of AlPbNF2 from Alexandria via LeMat-Bulk. Energies are from GGA-PBE.

Structure (POSCAR):
```
AlPbNF2
1.0
4.554 0.000 0.000
0.000 4.554 0.000
0.000 0.000 4.484
Al Pb N F
1 1 1 2
Cartesian
0.000 0.000 0.000
2.277 2.277 2.242
2.277 2.277 0.000
0.000 2.277 2.242
2.277 0.000 2.242
```

Results
Formation energy from raw total energies in eV per atom: -0.349
Total magnetic moment in Bohr magnetons per cell: 0.73
Calculated total energy in eV/cell: -21.26

***

[5]
Here is an optimized crystal structure of TbSm4Y from Alexandria via LeMat-Bulk. Energies are from GGA-PBE.

Structure (POSCAR):
```
TbSm4Y
1.0
0.000 4.698 4.698
4.698 0.000 4.698
4.698 4.698 0.000
Tb Sm Y
1 4 1
Cartesian
0.000 0.000 0.000
5.871 3.524 3.524
3.524 5.871 3.524
3.524 3.524 5.871
5.871 5.871 5.871
2.349 2.349 2.349
```

Results
Total magnetic moment in Bohr magnetons per cell: 0.00
Calculated total energy in eV/cell: -28.49
Energy of formation in eV per atom: 0.247

***

[6]
Here is an optimized crystal structure of PrMoN2 from Alexandria via LeMat-Bulk. Energies are from GGA-PBE.

Structure (POSCAR):
```
PrMoN2
1.0
5.928 0.000 0.000
0.000 3.349 0.000
0.000 0.000 10.876
Pr Mo N
4 4 8
Cartesian
0.467 0.837 1.576
2.497 2.512 7.014
3.431 0.837 3.861
5.461 2.512 9.299
0.353 2.512 4.441
2.612 0.837 9.879
3.317 2.512 0.997
5.576 0.837 6.435
0.953 0.837 8.086
1.415 0.837 5.291
1.549 2.512 10.729
2.011 2.512 2.649
3.917 0.837 8.227
4.379 0.837 0.147
4.513 2.512 5.585
4.975 2.512 2.789
```

Results
Formation energy from raw total energies in eV per atom: -0.908
Total magnetic moment in Bohr magnetons per cell: 0.00
Calculated total energy in eV/cell: -143.58

***

[7]
Here is an optimized crystal structure of Sc4USb5 from Alexandria via LeMat-Bulk. Energies are from GGA-PBE.

Structure (POSCAR):
```
Sc4USb5
1.0
-2.093 2.992 10.541
2.093 -2.992 10.541
2.093 2.992 -10.541
Sc U Sb
4 1 5
Cartesian
0.000 0.000 2.126
0.000 0.000 6.227
0.000 0.000 14.855
0.000 0.000 18.955
0.000 0.000 10.541
2.093 0.000 0.000
2.093 0.000 4.191
2.093 0.000 8.308
0.000 2.992 2.233
0.000 2.992 6.350
```

Results
Formation energy from raw total energies in eV per atom: -0.774
Total magnetic moment in Bohr magnetons per cell: 2.56
Calculated total energy in eV/cell: -64.97

***

[8]
Here is an optimized crystal structure of La6PmHg2 from Alexandria via LeMat-Bulk. Energies are from GGA-PBE.

Structure (POSCAR):
```
La6PmHg2
1.0
6.590 -1.946 0.000
6.590 1.946 0.000
-3.861 0.000 11.773
La Pm Hg
6 1 2
Cartesian
-0.988 0.000 3.970
2.500 0.000 4.800
3.700 0.000 1.464
5.619 0.000 10.309
6.819 0.000 6.973
10.308 0.000 7.803
0.000 0.000 0.000
1.619 0.000 9.493
7.700 0.000 2.281
```

Results
Total magnetic moment in Bohr magnetons per cell: 0.00
Calculated total energy in eV/cell: -36.92
Energy of formation in eV per atom: -0.222